No. 1
# Dy5Ho3Er

A relaxed structure of Dy5Ho3Er (PBE-GGA, the Alexandria database).

Computed properties:
**Energy of formation from the pure elements**: 51 kJ per mole of atoms
**ΔE to the lowest computed polymorph**: 390 meV/atom
**E_tot**: -4.06 eV/atom

Cell: 9.414 9.414 9.810 Å, 120.88 120.88 74.21°
Element x y z (fractional)
Dy (0.098, 0.602, 0.253)
Dy (0.224, 0.224, 0.234)
Dy (0.243, 0.757, 0.000)
Dy (0.278, 0.278, 0.961)
Dy (0.398, 0.902, 0.747)
Dy (0.602, 0.098, 0.253)
Dy (0.722, 0.722, 0.039)
Dy (0.757, 0.243, 0.000)
Dy (0.776, 0.776, 0.766)
Dy (0.902, 0.398, 0.747)
Ho (0.000, 0.000, 0.500)
Ho (0.010, 0.010, 0.818)
Ho (0.481, 0.481, 0.640)
Ho (0.500, 0.500, 0.000)
Ho (0.519, 0.519, 0.360)
Ho (0.990, 0.990, 0.182)
Er (0.248, 0.248, 0.599)
Er (0.752, 0.752, 0.401)



No. 2
# NaHg3Au

A relaxed structure of NaHg3Au (PBE-GGA, the Alexandria database).

Computed properties:
**Energy of formation from the pure elements**: -3 kJ per mole of atoms
**ΔE to the lowest computed polymorph**: 123 meV/atom
**E_tot**: -1.13 eV/atom

Cell: 5.436 5.436 5.436 Å, 90.00 90.00 90.00°
Element x y z (fractional)
Na (0.000, 0.000, 0.000)
Hg (0.000, 0.500, 0.500)
Hg (0.500, 0.000, 0.500)
Hg (0.500, 0.500, 0.000)
Au (0.500, 0.500, 0.500)



No. 3
# AgBiPd4

A relaxed structure of AgBiPd4 (PBE-GGA, the Alexandria database).

Computed properties:
**Energy of formation from the pure elements**: -15 kJ per mole of atoms
**ΔE to the lowest computed polymorph**: 0 meV/atom
**E_tot**: -4.74 eV/atom

Cell: 9.155 4.069 5.920 Å, 90.00 109.37 90.00°
Element x y z (fractional)
Ag (0.000, 0.000, 0.000)
Ag (0.500, 0.500, 0.000)
Bi (0.000, 0.000, 0.500)
Bi (0.500, 0.500, 0.500)
Pd (0.166, 0.500, 0.327)
Pd (0.170, 0.500, 0.839)
Pd (0.330, 0.000, 0.161)
Pd (0.334, 0.000, 0.673)
Pd (0.666, 0.000, 0.327)
Pd (0.670, 0.000, 0.839)
Pd (0.830, 0.500, 0.161)
Pd (0.834, 0.500, 0.673)



No. 4
# MgSe2I

A relaxed structure of MgSe2I (PBE-GGA, the Alexandria database).

Computed properties:
**ΔE to the lowest computed polymorph**: 0 meV/atom
**E_tot**: -2.95 eV/atom
**Formation energy without anion corrections**: -0.4218 eV/atom

Cell: 4.079 4.079 24.635 Å, 90.00 90.00 120.00°
Element x y z (fractional)
Mg (0.000, 0.000, 0.000)
Mg (0.333, 0.667, 0.667)
Mg (0.667, 0.333, 0.333)
Se (0.000, 0.000, 0.389)
Se (0.000, 0.000, 0.611)
Se (0.333, 0.667, 0.056)
Se (0.333, 0.667, 0.277)
Se (0.667, 0.333, 0.723)
Se (0.667, 0.333, 0.944)
I (0.000, 0.000, 0.500)
I (0.333, 0.667, 0.167)
I (0.667, 0.333, 0.833)



No. 5
# LiHo2Ga6Co

A relaxed structure of LiHo2Ga6Co (PBE-GGA, the Alexandria database).

Computed properties:
**Energy of formation from the pure elements**: -27 kJ per mole of atoms
**E_tot**: -3.91 eV/atom

Cell: 5.602 6.369 6.608 Å, 70.21 65.10 64.06°
Element x y z (fractional)
Li (0.000, 0.000, 0.000)
Ho (0.254, 0.343, 0.149)
Ho (0.746, 0.657, 0.851)
Ga (0.191, 0.803, 0.313)
Ga (0.247, 0.791, 0.713)
Ga (0.307, 0.196, 0.683)
Ga (0.693, 0.804, 0.317)
Ga (0.753, 0.209, 0.287)
Ga (0.809, 0.197, 0.687)
Co (0.500, 0.500, 0.500)



No. 6
# Ca2PdAu2

A relaxed structure of Ca2PdAu2 (PBE-GGA, the Alexandria database).

Computed properties:
**Energy of formation from the pure elements**: -66 kJ per mole of atoms
**ΔE to the lowest computed polymorph**: 40 meV/atom
**E_tot**: -3.83 eV/atom

Cell: 7.507 7.507 4.107 Å, 90.00 90.00 90.00°
Element x y z (fractional)
Ca (0.175, 0.325, 0.000)
Ca (0.325, 0.825, 0.000)
Ca (0.675, 0.175, 0.000)
Ca (0.825, 0.675, 0.000)
Pd (0.000, 0.000, 0.500)
Pd (0.500, 0.500, 0.500)
Au (0.132, 0.632, 0.500)
Au (0.368, 0.132, 0.500)
Au (0.632, 0.868, 0.500)
Au (0.868, 0.368, 0.500)



No. 7
# AlCdSi

A relaxed structure of AlCdSi (PBE-GGA, the Alexandria database).

Computed properties:
**E_tot**: -3.18 eV/atom
**Formation energy without anion corrections**: 0.1789 eV/atom

Cell: 4.103 5.458 5.731 Å, 85.25 72.03 75.69°
Element x y z (fractional)
Al (0.050, 0.244, 0.077)
Al (0.950, 0.756, 0.923)
Cd (0.290, 0.607, 0.320)
Cd (0.710, 0.393, 0.680)
Si (0.482, 0.944, 0.710)
Si (0.518, 0.056, 0.290)



No. 8
# CoNiN

A relaxed structure of CoNiN (PBE-GGA, the Alexandria database).

Computed properties:
**ΔE to the lowest computed polymorph**: 0 meV/atom
**E_tot**: -6.92 eV/atom
**Formation energy without anion corrections**: 0.1489 eV/atom

Cell: 3.174 3.174 3.693 Å, 90.00 90.00 120.00°
Element x y z (fractional)
Co (0.000, 0.000, 0.000)
Ni (0.667, 0.333, 0.500)
N (0.667, 0.333, 0.000)



No. 9
# Cd2In2Cu

A relaxed structure of Cd2In2Cu (PBE-GGA, the Alexandria database).

Computed properties:
**Energy of formation from the pure elements**: 16 kJ per mole of atoms
**ΔE to the lowest computed polymorph**: 119 meV/atom
**E_tot**: -2.11 eV/atom

Cell: 7.127 7.127 4.645 Å, 90.00 90.00 90.00°
Element x y z (fractional)
Cd (0.154, 0.346, 0.000)
Cd (0.346, 0.846, 0.000)
Cd (0.654, 0.154, 0.000)
Cd (0.846, 0.654, 0.000)
In (0.160, 0.660, 0.500)
In (0.340, 0.160, 0.500)
In (0.660, 0.840, 0.500)
In (0.840, 0.340, 0.500)
Cu (0.000, 0.000, 0.500)
Cu (0.500, 0.500, 0.500)



No. 10
# FePHAuC

A relaxed structure of FePHAuC (PBE-GGA, the Alexandria database).

Computed properties:
**ΔE to the lowest computed polymorph**: 41 meV/atom
**E_tot**: -5.64 eV/atom

Cell: 3.697 3.698 9.482 Å, 90.00 101.21 90.00°
Element x y z (fractional)
Fe (0.000, 0.000, 0.000)
Fe (0.500, 0.500, 0.000)
P (0.384, 0.500, 0.762)
P (0.884, 0.000, 0.762)
H (0.095, 0.500, 0.190)
H (0.595, 0.000, 0.190)
Au (0.242, 0.500, 0.472)
Au (0.742, 0.000, 0.472)
C (0.035, 0.500, 0.070)
C (0.535, 0.000, 0.070)



No. 11
# LaHo2Zn2In2

A relaxed structure of LaHo2Zn2In2 (PBE-GGA, the Alexandria database).

Computed properties:
**Energy of formation from the pure elements**: -29 kJ per mole of atoms
**E_tot**: -3.46 eV/atom

Cell: 9.673 9.673 9.673 Å, 28.43 28.43 28.43°
Element x y z (fractional)
La (0.000, 0.000, 0.000)
Ho (0.130, 0.130, 0.130)
Ho (0.870, 0.870, 0.870)
Zn (0.415, 0.415, 0.415)
Zn (0.585, 0.585, 0.585)
In (0.259, 0.259, 0.259)
In (0.741, 0.741, 0.741)



No. 12
# Rb3Pr2YS6

A relaxed structure of Rb3Pr2YS6 (PBE-GGA, the Alexandria database).

Computed properties:
**E_tot**: -5.47 eV/atom
**Formation energy without anion corrections**: -1.8272 eV/atom

Cell: 7.277 7.277 8.090 Å, 98.62 98.62 120.00°
Element x y z (fractional)
Rb (0.000, 0.000, 0.000)
Rb (0.332, 0.668, 0.000)
Rb (0.668, 0.332, 0.000)
Pr (0.167, 0.833, 0.500)
Pr (0.833, 0.167, 0.500)
Y (0.500, 0.500, 0.500)
S (0.111, 0.435, 0.304)
S (0.242, 0.242, 0.696)
S (0.435, 0.111, 0.304)
S (0.565, 0.889, 0.696)
S (0.758, 0.758, 0.304)
S (0.889, 0.565, 0.696)



Q: Which value of E_tot does entry 7 give?
A: -3.18 eV/atom